Ac2PuSn4Ir3: relaxed, PBE.

abc: 4.5221 4.5221 12.2801
angles: 90.00 90.00 90.00
Fractional positions:
Ac 0.5000 0.0000 0.2287
Ac 0.0000 0.5000 0.7713
Pu 0.5000 0.5000 0.5000
Sn 0.5000 0.5000 0.0000
Sn 0.0000 0.0000 0.0000
Sn 0.5000 0.0000 0.6634
Sn 0.0000 0.5000 0.3366
Ir 0.0000 0.0000 0.5000
Ir 0.5000 0.0000 0.8782
Ir 0.0000 0.5000 0.1218

Values from the calculation:
E_form: -480.3 meV/atom
Space-group type: No. 115